--- i ---
Compound: NaAg2Br3
Source: Alexandria
Functional: PBE-GGA
Structure: relaxed

Lattice parameters (Å, degrees): 4.541 13.628 6.372 90.00 90.00 90.00
Space group Imm2 (No. 44)
Unique sites:
Na 0.000 0.000 0.000 x2
Ag 0.000 0.332 0.000 x4
Br 0.000 0.172 0.739 x4
Br 0.000 0.500 0.767 x2

N(E_F): 0.00 states/eV/atom

---

--- ii ---
Compound: NaAg2Br3
Source: Alexandria
Functional: PBE-GGA
Structure: relaxed

Lattice parameters (Å, degrees): 9.808 14.062 5.835 90.00 90.00 90.00
Space group Cmcm (No. 63)
Unique sites:
Na 0.000 0.186 0.250 x4
Ag 0.221 0.000 0.000 x8
Br 0.000 0.103 0.750 x4
Br 0.207 0.353 0.750 x8

N(E_F): 0.00 states/eV/atom

---

Computed stability ranking, most favorable first: i, ii

---

--- i ---
Compound: NaAgBr
Source: Alexandria
Functional: PBE-GGA
Structure: relaxed

Lattice parameters (Å, degrees): 3.988 3.988 9.699 90.00 90.00 90.00
Space group P4/nmm (No. 129, origin choice 2)
Unique sites:
Na 0.250 0.250 0.179 x2
Ag 0.250 0.250 0.535 x2
Br 0.250 0.250 0.845 x2

N(E_F): 0.12 states/eV/atom

---

--- ii ---
Compound: NaAgBr
Source: Alexandria
Functional: PBE-GGA
Structure: relaxed

Lattice parameters (Å, degrees): 11.549 4.031 6.983 90.00 90.00 90.00
Space group Amm2 (No. 38)
Unique sites:
Na 0.182 0.000 0.000 x4
Ag 0.000 0.000 0.667 x2
Ag 0.500 0.000 0.999 x2
Br 0.341 0.000 0.666 x4

N(E_F): 0.17 states/eV/atom

---

Computed stability ranking, most favorable first: i, ii